Entry 1:
## PmDy2Sc (PBE-GGA)

Data for an optimized crystal structure of PmDy2Sc.

Computed properties:
The total magnetization comes out at 0.00 μB/atom. Its energy of formation from the pure elements is 0.047 eV per atom. The energy above the most stable polymorph in this dataset is 17 meV/atom.

a = 3.5119 Å, b = 3.5119 Å, c = 34.0748 Å
α = 90.00°, β = 90.00°, γ = 120.00°
Closest atoms and distances in Å follow each position.
Space group R-3m (No. 166, hexagonal axes)
One atom of each set of equivalent atoms:
Pm (0.0000, 0.0000, 0.0000) x3  6 Pm 3.51, 6 Dy 3.60
Dy (0.0000, 0.0000, 0.2460) x6  3 Sc 3.38, 6 Dy 3.51, 3 Pm 3.60
Sc (0.0000, 0.0000, 0.5000) x3  6 Dy 3.38, 6 Sc 3.51

***

Entry 2:
## PmPr6Sm2 (PBE-GGA)

Data for an optimized crystal structure of PmPr6Sm2.

Computed properties:
The total magnetization comes out at 0.00 μB/atom. Its energy of formation from the pure elements is 0.170 eV per atom. The energy above the most stable polymorph in this dataset is 0 meV/atom.

a = 11.9615 Å, b = 3.5293 Å, c = 15.7439 Å
α = 90.00°, β = 101.73°, γ = 90.00°
Closest atoms and distances in Å follow each position.
Space group C2/m (No. 12)
One atom of each set of equivalent atoms:
Pm (0.0000, 0.0000, 0.0000) x2  2 Pm 3.53, 8 Pr 3.54-3.70
Pr (0.0412, 0.0000, 0.2298) x4  7 Pr 3.53-3.91, 3 Sm 3.54-3.69, 1 Pm 3.55
Pr (0.1253, 0.5000, 0.4375) x4  7 Pr 3.53-3.91, 4 Sm 3.54-3.69
Pr (0.2080, 0.5000, 0.8958) x4  7 Pr 3.53-3.91, 1 Sm 3.54, 3 Pm 3.54-3.70
Sm (0.1669, 0.5000, 0.6665) x4  2 Sm 3.53, 8 Pr 3.54-3.69

***

Entry 3:
## LiThGe (PBE-GGA)

Data for an optimized crystal structure of LiThGe.

Computed properties:
The total magnetization comes out at 0.29 μB/atom. Its energy of formation from the pure elements is -0.516 eV per atom.

a = 4.2913 Å, b = 4.2913 Å, c = 4.0988 Å
α = 90.00°, β = 90.00°, γ = 120.00°
Closest atoms and distances in Å follow each position.
Space group P-6m2 (No. 187)
One atom of each set of equivalent atoms:
Li (0.0000, 0.0000, 0.0000) x1  3 Ge 2.48
Th (0.6667, 0.3333, 0.5000) x1  6 Li 3.22, 6 Ge 3.22
Ge (0.3333, 0.6667, 0.0000) x1  3 Li 2.48

***

Entry 4:
## Ca2LaTlRh (PBE-GGA)

Data for an optimized crystal structure of Ca2LaTlRh.

Computed properties:
The total magnetization comes out at 0.00 μB/atom. Its energy of formation from the pure elements is -0.354 eV per atom.

a = 5.5229 Å, b = 5.5229 Å, c = 5.4347 Å
α = 90.00°, β = 90.00°, γ = 90.00°
Closest atoms and distances in Å follow each position.
Space group P4/mmm (No. 123)
One atom of each set of equivalent atoms:
Ca (0.0000, 0.5000, 0.0000) x2  2 Rh 2.76
La (0.0000, 0.0000, 0.5000) x1  2 Rh 2.72
Tl (0.5000, 0.5000, 0.5000) x1  8 Ca 3.87, 4 La 3.91
Rh (0.0000, 0.0000, 0.0000) x1  2 La 2.72, 4 Ca 2.76

***

Entry 5:
## KTeIO2 (PBE-GGA)

Data for an optimized crystal structure of KTeIO2.

Computed properties:
For the uncorrected formation energy, the calculation gives 0.569 eV/atom. The total magnetization comes out at 0.72 μB/atom. The energy above the most stable polymorph in this dataset is 1278 meV/atom.

a = 4.7512 Å, b = 4.7512 Å, c = 6.9981 Å
α = 90.00°, β = 90.00°, γ = 90.00°
Closest atoms and distances in Å follow each position.
Space group P4/mmm (No. 123)
One atom of each set of equivalent atoms:
K (0.0000, 0.0000, 0.0000) x1  4 O 2.38
Te (0.5000, 0.5000, 0.5000) x1  4 I 3.36
I (0.0000, 0.0000, 0.5000) x1  4 Te 3.36, 2 K 3.50
O (0.0000, 0.5000, 0.0000) x2  2 K 2.38

***

Entry 6:
## CoRe2Pb2 (PBE-GGA)

Data for an optimized crystal structure of CoRe2Pb2.

Computed properties:
The total magnetization comes out at 0.31 μB/atom. Its energy of formation from the pure elements is 1.002 eV per atom. The energy above the most stable polymorph in this dataset is 0 meV/atom.

a = 3.5194 Å, b = 3.5194 Å, c = 17.1470 Å
α = 90.00°, β = 90.00°, γ = 90.00°
Closest atoms and distances in Å follow each position.
Space group I4/mmm (No. 139)
One atom of each set of equivalent atoms:
Co (0.0000, 0.0000, 0.0000) x2  8 Pb 3.01
Re (0.0000, 0.5000, 0.2500) x4  4 Re 2.49
Pb (0.0000, 0.0000, 0.4014) x4  4 Co 3.01, 4 Re 3.14

***

Q: Which value of total magnetization does entry 1 give?
A: 0.00 μB/atom